1.
Computed, not measured: a geometry-optimized NaLiAcCd structure at the GGA-PBE level of DFT.

Cell and atoms, written as POSCAR:
```
NaLiAcCd
1.0
5.5483 0.0000 0.0000
2.7741 4.8049 0.0000
2.7741 1.6016 4.5301
Li Na Ac Cd
1 1 1 1
Direct
0.2500 0.2500 0.2500
0.0000 0.0000 0.0000
0.5000 0.5000 0.5000
0.7500 0.7500 0.7500
```

Values from the calculation:
* ΔH_f (0 K): -0.011 eV per atom
* SG: F-43m, No. 216

---

2.
Computed, not measured: a geometry-optimized LiAcNdCd structure at the GGA-PBE level of DFT.

Cell and atoms, written as POSCAR:
```
LiAcNdCd
1.0
5.5944 0.0000 0.0000
2.7972 4.8449 0.0000
2.7972 1.6150 4.5678
Nd Ac Li Cd
1 1 1 1
Direct
0.0000 0.0000 0.0000
0.5000 0.5000 0.5000
0.2500 0.2500 0.2500
0.7500 0.7500 0.7500
```

Values from the calculation:
* ΔH_f (0 K): -0.103 eV per atom
* SG: F-43m, No. 216